Record 1
## Sr2LuIn (GGA-PBE)

Data for a geometry-optimized Sr2LuIn structure.

It has space group F-43m (No. 216), with a = 8.174 Å, b = 8.174 Å, c = 8.174 Å, α = 90.00°, β = 90.00° and γ = 90.00°. Symmetry generates all atoms from Sr at (0.000, 0.000, 0.000), Sr at (0.250, 0.250, 0.250), Lu at (0.250, 0.250, 0.750) and In at (0.000, 0.000, 0.500).

The total energy is -2.643 eV per atom. Its total moment is 0.0212 μB per atom.

Record 2
## LuZrCuSn (GGA-PBE)

Data for a geometry-optimized LuZrCuSn structure.

It has space group F-43m (No. 216), with a = 6.975 Å, b = 6.975 Å, c = 6.975 Å, α = 90.00°, β = 90.00° and γ = 90.00°. Symmetry generates all atoms from Lu at (0.000, 0.000, 0.000), Zr at (0.250, 0.250, 0.250), Cu at (0.250, 0.250, 0.750) and Sn at (0.000, 0.000, 0.500).

The total energy is -5.077 eV per atom. Its total moment is 0.4036 μB per atom.

Record 3
## CdB2W2 (GGA-PBE)

Data for a geometry-optimized CdB2W2 structure.

It has space group Cmmm (No. 65), with a = 3.045 Å, b = 13.608 Å, c = 3.088 Å, α = 90.00°, β = 90.00° and γ = 90.00°. Symmetry generates all atoms from Cd at (0.000, 0.000, 0.000), B at (0.000, 0.213, 0.000) and W at (0.000, 0.340, 0.500).

The total energy is -8.020 eV per atom. Its total moment is 0.0005 μB per atom.

Record 4
## Mg2Co (GGA-PBE)

Data for a geometry-optimized Mg2Co structure.

It has space group P-62m (No. 189), with a = 5.0221 Å, b = 5.0221 Å, c = 4.3744 Å, α = 90.00°, β = 90.00° and γ = 120.00°. Symmetry generates all atoms from Mg at (0.0000, 0.0000, 0.0000), Mg at (0.0000, 0.3658, 0.5000) and Co at (0.3333, 0.6667, 0.0000).

The total energy is -3.120 eV per atom. Its total moment is 0.0009 μB per atom.

Record 5
## TbDy2In3Ir2Au (GGA-PBE)

Data for a geometry-optimized TbDy2In3Ir2Au structure.

It has space group Amm2 (No. 38), with a = 3.898 Å, b = 13.277 Å, c = 7.653 Å, α = 90.00°, β = 90.00° and γ = 90.00°. Symmetry generates all atoms from Tb at (0.000, 0.000, 0.000), Dy at (0.000, 0.204, 0.387), In at (0.500, 0.000, 0.324), In at (0.500, 0.134, 0.725), Ir at (0.500, 0.167, 0.091) and Au at (0.000, 0.000, 0.591).

The total energy is -5.485 eV per atom. Its total moment is 0.0019 μB per atom.

Record 6
## CuNiBPb (GGA-PBE)

Data for a geometry-optimized CuNiBPb structure.

It has space group F-43m (No. 216), with a = 6.130 Å, b = 6.130 Å, c = 6.130 Å, α = 90.00°, β = 90.00° and γ = 90.00°. Symmetry generates all atoms from Cu at (0.000, 0.000, 0.000), Ni at (0.250, 0.250, 0.250), B at (0.250, 0.250, 0.750) and Pb at (0.000, 0.000, 0.500).

The total energy is -3.952 eV per atom. Its total moment is 0.0004 μB per atom.

Record 7
## Gd3In3NiIr2 (GGA-PBE)

Data for a geometry-optimized Gd3In3NiIr2 structure.

It has space group P-62m (No. 189), with a = 7.5494 Å, b = 7.5494 Å, c = 3.8863 Å, α = 90.00°, β = 90.00° and γ = 120.00°. Symmetry generates all atoms from Gd at (0.0000, 0.5891, 0.0000), In at (0.0000, 0.2488, 0.5000), Ni at (0.0000, 0.0000, 0.0000) and Ir at (0.3333, 0.6667, 0.5000).

The total energy is -5.708 eV per atom. Its total moment is 0.0002 μB per atom.

Record 8
## TeAuNO (GGA-PBE)

Data for a geometry-optimized TeAuNO structure.

It has space group Pmc2_1 (No. 26), with a = 4.180 Å, b = 5.473 Å, c = 5.295 Å, α = 90.00°, β = 90.00° and γ = 90.00°. Symmetry generates all atoms from Te at (0.000, 0.212, 0.000), Au at (0.500, 0.298, 0.502), N at (0.000, 0.156, 0.389) and O at (0.500, 0.226, 0.972).

The total energy is -4.512 eV per atom.